Pa2B2C3 | PBE | relaxed

POSCAR file:
```
Pa2B2C3
1.0
5.133 -1.527 0.000
5.133 1.527 0.000
-0.128 0.000 5.059
Pa B C
2 2 3
direct
0.130 0.130 0.244
0.870 0.870 0.756
0.390 0.390 0.280
0.610 0.610 0.720
0.179 0.179 0.762
0.500 0.500 0.500
0.821 0.821 0.238
```

Summary:
For the formation energy, the calculation gives -0.35 eV/atom. The total energy comes out at -62.46 eV/cell. Its volume is 79.3 Å³ per cell.

=====

PaBC | PBE | relaxed

POSCAR file:
```
PaBC
1.0
1.843 -6.109 0.000
1.843 6.109 0.000
0.000 0.000 3.398
Pa B C
2 2 2
direct
0.139 0.861 0.750
0.861 0.139 0.250
0.466 0.534 0.750
0.534 0.466 0.250
0.336 0.664 0.750
0.664 0.336 0.250
```

Summary:
For the formation energy, the calculation gives -0.63 eV/atom. The total energy comes out at -54.57 eV/cell. Its volume is 76.5 Å³ per cell. The relative energy among the computed polymorphs comes out at 0 meV per atom.

=====

PaBC | PBE | relaxed

POSCAR file:
```
PaBC
1.0
3.026 0.000 0.000
-1.513 2.621 0.000
0.000 0.000 4.147
Pa B C
1 1 1
direct
0.000 0.000 0.000
0.667 0.333 0.500
0.333 0.667 0.500
```

Summary:
For the formation energy, the calculation gives -0.34 eV/atom. The total energy comes out at -26.43 eV/cell. Its volume is 32.9 Å³ per cell. The relative energy among the computed polymorphs comes out at 286 meV per atom.

=====

PaB3C | PBE | relaxed

POSCAR file:
```
PaB3C
1.0
4.682 0.000 0.000
0.000 4.560 0.000
-0.302 0.000 5.089
Pa B C
2 6 2
direct
0.246 0.250 0.275
0.754 0.750 0.725
0.234 0.053 0.765
0.234 0.447 0.765
0.254 0.750 0.970
0.746 0.250 0.030
0.766 0.553 0.235
0.766 0.947 0.235
0.495 0.750 0.198
0.505 0.250 0.802
```

Summary:
For the formation energy, the calculation gives -0.15 eV/atom. The total energy comes out at -79.05 eV/cell. Its volume is 108.7 Å³ per cell.